# 1
Compound: GaRe2Ni
Source: Alexandria
Functional: PBE-GGA
Structure: optimized geometry

Computed properties:
As for the symmetry: R-3m (166). The calculation puts the formation energy at 2.32 eV/f.u. The value obtained for the total energy is -7.846 eV per atom. The magnetic moment is 0.156 μB/f.u.

Cell lengths 2.709, 2.709, 9.555 Å; angles 81.85, 81.85, 60.00 degrees
Site moments in Bohr magnetons follow the coordinates.
Positions (direct):
Re1 0.913 0.913 0.260  0.00
Re2 0.087 0.087 0.740  0.00
Ga1 0.500 0.500 0.500  0.00
Ni1 0.000 0.000 0.000  0.16


# 2
Compound: TbTi4O6
Source: Alexandria
Functional: PBE-GGA
Structure: optimized geometry

Computed properties:
As for the symmetry: Cmcm (63). The value obtained for the total energy is -8.763 eV per atom. The magnetic moment is 0.000 μB/f.u. As for the energy relative to the elements, uncorrected: -2.767 eV per atom.

Cell lengths 3.086, 5.201, 15.059 Å; angles 90.00, 90.00, 107.26 degrees
Positions (direct):
Ti1 0.145 0.290 0.037
Ti2 0.855 0.710 0.537
Ti3 0.603 0.206 0.621
Ti4 0.397 0.794 0.121
Ti5 0.397 0.794 0.379
Ti6 0.145 0.290 0.463
Ti7 0.603 0.206 0.879
Ti8 0.855 0.710 0.963
Tb1 0.347 0.694 0.750
Tb2 0.653 0.306 0.250
O1 0.756 0.512 0.402
O2 0.500 0.000 0.000
O3 0.962 0.924 0.842
O4 0.678 0.356 0.750
O5 0.756 0.512 0.098
O6 0.244 0.488 0.902
O7 0.244 0.488 0.598
O8 0.322 0.644 0.250
O9 0.038 0.076 0.158
O10 0.962 0.924 0.658
O11 0.038 0.076 0.342
O12 0.500 0.000 0.500


# 3
Compound: AcScCuSn
Source: Alexandria
Functional: PBE-GGA
Structure: optimized geometry

Computed properties:
As for the symmetry: F-43m (216). The calculation puts the formation energy at -1.05 eV/f.u. The value obtained for the total energy is -4.898 eV per atom. The magnetic moment is 0.020 μB/f.u.

Cell lengths 5.297, 5.297, 5.297 Å; angles 60.00, 60.00, 60.00 degrees
Positions (direct):
Sc1 0.500 0.500 0.500
Sn1 0.750 0.750 0.750
Ac1 0.000 0.000 0.000
Cu1 0.250 0.250 0.250


# 4
Compound: Mg2BAu
Source: Alexandria
Functional: PBE-GGA
Structure: optimized geometry

Computed properties:
As for the symmetry: I-42d (122). The calculation puts the formation energy at 1.61 eV/f.u. The value obtained for the total energy is -2.883 eV per atom. The magnetic moment is 0.000 μB/f.u.

Cell lengths 6.992, 6.992, 5.680 Å; angles 52.01, 52.01, 90.00 degrees
Positions (direct):
B1 0.250 0.750 0.500
B2 0.500 0.500 0.000
Au1 0.750 0.250 0.500
Au2 0.000 0.000 0.000
Mg1 0.179 0.625 0.250
Mg2 0.375 0.429 0.750
Mg3 0.875 0.821 0.750
Mg4 0.571 0.125 0.250


Repeat the fourth record exactly.
Compound: Mg2BAu
Source: Alexandria
Functional: PBE-GGA
Structure: optimized geometry

Computed properties:
As for the symmetry: I-42d (122). The calculation puts the formation energy at 1.61 eV/f.u. The value obtained for the total energy is -2.883 eV per atom. The magnetic moment is 0.000 μB/f.u.

Cell lengths 6.992, 6.992, 5.680 Å; angles 52.01, 52.01, 90.00 degrees
Positions (direct):
B1 0.250 0.750 0.500
B2 0.500 0.500 0.000
Au1 0.750 0.250 0.500
Au2 0.000 0.000 0.000
Mg1 0.179 0.625 0.250
Mg2 0.375 0.429 0.750
Mg3 0.875 0.821 0.750
Mg4 0.571 0.125 0.250


> Look up the magnetic moment of the fourth one.

0.000 μB/f.u.